1.
A relaxed structure of Zn2Ga2Cu7Si. Source: Alexandria via LeMat-Bulk, functional GGA-PBE.

Output
ΔE_f (raw): 10 meV per atom
Space group: C2/m (12)
Electronic total energy: -42.58 eV/cell

Cell: 3.7484 3.7484 12.7102 Å, 73.38 73.38 92.05°
Closest atoms and distances in Å follow each position.
Sites, in units of the cell vectors:
Ga (0.6851, 0.6851, 0.3155)  6 Cu 2.51-2.68, 4 Zn 2.60-2.70
Ga (0.3149, 0.3149, 0.6845)  6 Cu 2.51-2.68, 4 Zn 2.60-2.70
Zn (0.8092, 0.8092, 0.6902)  6 Cu 2.55-2.63, 4 Ga 2.60-2.70
Zn (0.1908, 0.1908, 0.3098)  6 Cu 2.55-2.63, 4 Ga 2.60-2.70
Si (0.0000, 0.0000, 0.0000)  12 Cu 2.55-2.70
Cu (0.7526, 0.7526, 0.4999)  2 Ga 2.51, 2 Zn 2.55, 4 Cu 2.58-2.70
Cu (0.2474, 0.2474, 0.5001)  2 Ga 2.51, 2 Zn 2.55, 4 Cu 2.58-2.70
Cu (0.8501, 0.3504, 0.1504)  2 Si 2.55-2.56, 6 Cu 2.56-2.70, 2 Zn 2.63, 2 Ga 2.68
Cu (0.6496, 0.1499, 0.8496)  2 Si 2.55-2.56, 6 Cu 2.56-2.70, 2 Zn 2.63, 2 Ga 2.68
Cu (0.1499, 0.6496, 0.8496)  2 Si 2.55-2.56, 6 Cu 2.56-2.70, 2 Zn 2.63, 2 Ga 2.68
Cu (0.5000, 0.5000, 0.0000)  8 Cu 2.56, 4 Si 2.60-2.70
Cu (0.3504, 0.8501, 0.1504)  2 Si 2.55-2.56, 6 Cu 2.56-2.70, 2 Zn 2.63, 2 Ga 2.68

***

2.
A relaxed structure of Sm12Ga6Cu. Source: Alexandria via LeMat-Bulk, functional GGA-PBE.

Output
Formation energy: -0.147 eV per atom
Space group: R-3 (148)
Electronic total energy: -81.67 eV/cell

Cell: 8.5884 8.5884 8.5884 Å, 100.27 100.27 100.27°
Closest atoms and distances in Å follow each position.
Sites, in units of the cell vectors:
Sm (0.8200, 0.5740, 0.4336)  4 Ga 2.96-3.13
Sm (0.0669, 0.9528, 0.3202)  1 Cu 2.82, 2 Ga 2.96-3.00
Sm (0.0472, 0.6798, 0.9331)  1 Cu 2.82, 2 Ga 2.96-3.00
Sm (0.4336, 0.8200, 0.5740)  4 Ga 2.96-3.13
Sm (0.5740, 0.4336, 0.8200)  4 Ga 2.96-3.13
Sm (0.6798, 0.9331, 0.0472)  1 Cu 2.82, 2 Ga 2.96-3.00
Sm (0.4260, 0.5664, 0.1800)  4 Ga 2.96-3.13
Sm (0.1800, 0.4260, 0.5664)  4 Ga 2.96-3.13
Sm (0.5664, 0.1800, 0.4260)  4 Ga 2.96-3.13
Sm (0.3202, 0.0669, 0.9528)  1 Cu 2.82, 2 Ga 2.96-3.00
Sm (0.9331, 0.0472, 0.6798)  1 Cu 2.82, 2 Ga 2.96-3.00
Sm (0.9528, 0.3202, 0.0669)  1 Cu 2.82, 2 Ga 2.96-3.00
Ga (0.8646, 0.3797, 0.6968)  7 Sm 2.96-3.29
Ga (0.6968, 0.8646, 0.3797)  7 Sm 2.96-3.29
Ga (0.6203, 0.3032, 0.1354)  7 Sm 2.96-3.29
Ga (0.3797, 0.6968, 0.8646)  7 Sm 2.96-3.29
Ga (0.1354, 0.6203, 0.3032)  7 Sm 2.96-3.29
Ga (0.3032, 0.1354, 0.6203)  7 Sm 2.96-3.29
Cu (0.0000, 0.0000, 0.0000)  6 Sm 2.82

***

3.
A relaxed structure of Sm4GaCu2. Source: Alexandria via LeMat-Bulk, functional GGA-PBE.

Output
Formation energy: -0.182 eV per atom
Space group: R-3m (166)
Electronic total energy: -31.37 eV/cell

Cell: 5.0334 5.0334 8.5944 Å, 72.97 72.97 60.00°
Closest atoms and distances in Å follow each position.
Sites, in units of the cell vectors:
Ga (0.0000, 0.0000, 0.0000)  8 Sm 3.11-3.13, 6 Cu 3.47
Cu (0.2549, 0.2549, 0.2352)  8 Sm 3.00-3.15
Cu (0.7451, 0.7451, 0.7648)  8 Sm 3.00-3.15
Sm (0.1280, 0.1280, 0.6160)  4 Cu 3.08-3.15, 1 Ga 3.11
Sm (0.6192, 0.6192, 0.1425)  4 Cu 3.00-3.06, 3 Ga 3.13
Sm (0.3808, 0.3808, 0.8575)  4 Cu 3.00-3.06, 3 Ga 3.13
Sm (0.8720, 0.8720, 0.3840)  4 Cu 3.08-3.15, 1 Ga 3.11

***

4.
A relaxed structure of Sm4Ga3Cu. Source: Alexandria via LeMat-Bulk, functional GGA-PBE.

Output
Formation energy: -0.469 eV per atom
Space group: Pmm2 (25)
Electronic total energy: -35.81 eV/cell
Polymorph energy (0 for the lowest one): 0.0 meV/atom

Cell: 4.3284 4.2418 10.8705 Å, 90.00 90.00 90.00°
Closest atoms and distances in Å follow each position.
Sites, in units of the cell vectors:
Ga (0.0000, 0.0000, 0.4255)  2 Ga 2.67
Ga (0.0000, 0.5000, 0.5742)  2 Ga 2.67
Ga (0.5000, 0.0000, 0.9325)  2 Cu 2.57
Sm (0.5000, 0.5000, 0.3506)  1 Cu 3.10, 6 Ga 3.14-3.25
Sm (0.0000, 0.5000, 0.8660)  2 Cu 3.07, 5 Ga 3.12-3.17
Sm (0.5000, 0.0000, 0.6448)  7 Ga 3.13-3.22
Sm (0.0000, 0.0000, 0.1406)  3 Ga 3.10-3.13, 4 Cu 3.14
Cu (0.5000, 0.5000, 0.0658)  2 Ga 2.57